The following is a DFT calculation (PBE) of a geometry-optimized Sr2P structure.

total DFT energy (no corrections)	-3.773	eV/atom
ΔH_f (0 K)	-0.848	eV/atom

Geometry as POSCAR:
```
Sr2P
1.0
2.2349 -3.8440 0.0000
2.2349 3.8440 0.0000
0.0000 0.0000 14.9459
Sr P
4 2
direct
0.1661 0.8339 0.8950
0.3339 0.6661 0.3950
0.6661 0.3339 0.6050
0.8339 0.1661 0.1050
0.0000 0.0000 0.5000
0.5000 0.5000 0.0000
```

The following is a DFT calculation (PBE) of a geometry-optimized PrHoEr2Sc2 structure.

total DFT energy (no corrections)	-5.113	eV/atom
ΔH_f (0 K)	0.078	eV/atom

Geometry as POSCAR:
```
PrHoEr2Sc2
1.0
6.7593 0.0000 0.0000
0.0000 9.5309 0.0000
0.0000 0.0000 5.4712
Pr Ho Er Sc
2 2 4 4
direct
0.0000 0.0000 0.0000
0.5000 0.5000 0.5000
0.0000 0.5000 0.5000
0.5000 0.0000 0.0000
0.2471 0.3335 0.0000
0.2529 0.8335 0.5000
0.7471 0.1665 0.5000
0.7529 0.6665 0.0000
0.2498 0.1668 0.5000
0.2502 0.6668 0.0000
0.7498 0.3332 0.0000
0.7502 0.8332 0.5000
```

The following is a DFT calculation (PBE) of a geometry-optimized InWSeN2 structure.

total DFT energy (no corrections)	-5.133	eV/atom
ΔE to the lowest computed polymorph	1808	meV per atom
uncorrected formation energy	2032	meV per atom

Geometry as POSCAR:
```
InWSeN2
1.0
4.1547 0.0000 0.0000
0.0000 4.1547 0.0000
0.0000 0.0000 5.4359
In W Se N
1 1 1 2
direct
0.0000 0.0000 0.0000
0.5000 0.5000 0.5000
0.0000 0.0000 0.5000
0.0000 0.5000 0.0000
0.5000 0.0000 0.0000
```

For each record above, in turn, the calculated M_tot values are 0.00; 0.00; 1.03 μB/f.u..